[1]
Compound: Ta2Ti2Au
Source: Alexandria
Functional: PBE
Structure: relaxed

The structure in CIF format:
```
data_Ta2Ti2Au
_chemical_formula_sum 'Ta4 Ti4 Au2'
_cell_length_a 13.330
_cell_length_b 4.609
_cell_length_c 2.872
_cell_angle_alpha 90.00
_cell_angle_beta 96.91
_cell_angle_gamma 90.00
_space_group_name_H-M_alt 'C 1 2/m 1'
_space_group_IT_number 12
loop_
_space_group_symop_operation_xyz
'x,y,z'
'-x,-y,-z'
'-x,y,-z'
'x,-y,z'
'x+1/2,y+1/2,z'
'-x+1/2,-y+1/2,-z'
'-x+1/2,y+1/2,-z'
'x+1/2,-y+1/2,z'
loop_
_atom_site_label
_atom_site_fract_x
_atom_site_fract_y
_atom_site_fract_z
_atom_site_occupancy
Ta1 0.207 0.000 0.314 1
Ti1 0.101 0.500 0.935 1
Au1 0.000 0.000 0.500 1
```

Calculated values
Magnetic moment: 1.01 Bohr magnetons per cell
Relative energy among the computed polymorphs: 0 meV/atom

---

[2]
Compound: La2MnCuPd
Source: Alexandria
Functional: PBE
Structure: relaxed

The structure in CIF format:
```
data_La2MnCuPd
_chemical_formula_sum 'La2 Mn1 Cu1 Pd1'
_cell_length_a 5.645
_cell_length_b 5.645
_cell_length_c 4.494
_cell_angle_alpha 90.00
_cell_angle_beta 90.00
_cell_angle_gamma 90.00
_space_group_name_H-M_alt 'P 4/m m m'
_space_group_IT_number 123
_space_group_name_Hall '-P 4 2'
loop_
_atom_site_label
_atom_site_fract_x
_atom_site_fract_y
_atom_site_fract_z
_atom_site_occupancy
La1 0.000 0.500 0.000 1
Mn1 0.000 0.000 0.500 1
Cu1 0.500 0.500 0.500 1
Pd1 0.000 0.000 0.000 1
```

Calculated values
Magnetic moment: 0.01 Bohr magnetons per cell
Final energy: -25.6 eV for the cell shown

---

[3]
Compound: Tb4ScIr5
Source: Alexandria
Functional: PBE
Structure: relaxed

The structure in CIF format:
```
data_Tb4ScIr5
_chemical_formula_sum 'Tb4 Sc1 Ir5'
_cell_length_a 3.319
_cell_length_b 3.319
_cell_length_c 17.819
_cell_angle_alpha 90.00
_cell_angle_beta 90.00
_cell_angle_gamma 90.00
_space_group_name_H-M_alt 'P 4/m m m'
_space_group_IT_number 123
_space_group_name_Hall '-P 4 2'
loop_
_atom_site_label
_atom_site_fract_x
_atom_site_fract_y
_atom_site_fract_z
_atom_site_occupancy
Tb1 0.000 0.000 0.102 1
Tb2 0.000 0.000 0.307 1
Sc1 0.000 0.000 0.500 1
Ir1 0.500 0.500 0.000 1
Ir2 0.500 0.500 0.205 1
Ir3 0.500 0.500 0.411 1
```

Calculated values
Magnetic moment: 0.00 Bohr magnetons per cell
Final energy: -77.2 eV for the cell shown

---

Repeat the third record exactly.
Compound: Tb4ScIr5
Source: Alexandria
Functional: PBE
Structure: relaxed

The structure in CIF format:
```
data_Tb4ScIr5
_chemical_formula_sum 'Tb4 Sc1 Ir5'
_cell_length_a 3.319
_cell_length_b 3.319
_cell_length_c 17.819
_cell_angle_alpha 90.00
_cell_angle_beta 90.00
_cell_angle_gamma 90.00
_space_group_name_H-M_alt 'P 4/m m m'
_space_group_IT_number 123
_space_group_name_Hall '-P 4 2'
loop_
_atom_site_label
_atom_site_fract_x
_atom_site_fract_y
_atom_site_fract_z
_atom_site_occupancy
Tb1 0.000 0.000 0.102 1
Tb2 0.000 0.000 0.307 1
Sc1 0.000 0.000 0.500 1
Ir1 0.500 0.500 0.000 1
Ir2 0.500 0.500 0.205 1
Ir3 0.500 0.500 0.411 1
```

Calculated values
Magnetic moment: 0.00 Bohr magnetons per cell
Final energy: -77.2 eV for the cell shown

---

> Among the records above, which one has the lowest magnetic moment?

Tb4ScIr5

---

Copy entry 3 word for word.
Compound: Tb4ScIr5
Source: Alexandria
Functional: PBE
Structure: relaxed

The structure in CIF format:
```
data_Tb4ScIr5
_chemical_formula_sum 'Tb4 Sc1 Ir5'
_cell_length_a 3.319
_cell_length_b 3.319
_cell_length_c 17.819
_cell_angle_alpha 90.00
_cell_angle_beta 90.00
_cell_angle_gamma 90.00
_space_group_name_H-M_alt 'P 4/m m m'
_space_group_IT_number 123
_space_group_name_Hall '-P 4 2'
loop_
_atom_site_label
_atom_site_fract_x
_atom_site_fract_y
_atom_site_fract_z
_atom_site_occupancy
Tb1 0.000 0.000 0.102 1
Tb2 0.000 0.000 0.307 1
Sc1 0.000 0.000 0.500 1
Ir1 0.500 0.500 0.000 1
Ir2 0.500 0.500 0.205 1
Ir3 0.500 0.500 0.411 1
```

Calculated values
Magnetic moment: 0.00 Bohr magnetons per cell
Final energy: -77.2 eV for the cell shown

---

> magnetic moment of number 2 (La2MnCuPd)?

0.01 Bohr magnetons per cell